[1]
HfTaGa2 | GGA-PBE | relaxed

Results
V: 17.539 A^3/atom
N(E_F): 3.96 states/eV/f.u.
VASP energy: -28.1 eV/f.u.
energy of formation: -72 meV/atom
symmetry: Fm-3m (225)

The structure in CIF format:
```
data_HfTaGa2
_chemical_formula_sum 'Hf1 Ta1 Ga2'
_space_group_name_H-M_alt 'P 1'
_space_group_IT_number 1
_cell_length_a 4.6295
_cell_length_b 4.6295
_cell_length_c 4.6295
_cell_angle_alpha 60.00
_cell_angle_beta 60.00
_cell_angle_gamma 60.00
loop_
_space_group_symop_operation_xyz
'x,y,z'
loop_
_atom_site_label
_atom_site_fract_x
_atom_site_fract_y
_atom_site_fract_z
Hf1 0.0000 0.0000 0.0000
Ga1 0.2500 0.2500 0.2500
Ga2 0.7500 0.7500 0.7500
Ta1 0.5000 0.5000 0.5000
```


[2]
LaTbSmCd | GGA-PBE | relaxed

Results
V: 31.017 A^3/atom
N(E_F): 5.59 states/eV/f.u.
VASP energy: -15.8 eV/f.u.
energy of formation: -146 meV/atom
symmetry: P4mm (99)

The structure in CIF format:
```
data_LaTbSmCd
_chemical_formula_sum 'La1 Tb1 Sm1 Cd1'
_space_group_name_H-M_alt 'P 1'
_space_group_IT_number 1
_cell_length_a 3.7339
_cell_length_b 3.7339
_cell_length_c 8.8988
_cell_angle_alpha 90.00
_cell_angle_beta 90.00
_cell_angle_gamma 90.00
loop_
_space_group_symop_operation_xyz
'x,y,z'
loop_
_atom_site_label
_atom_site_fract_x
_atom_site_fract_y
_atom_site_fract_z
La1 0.0000 0.0000 0.0750
Tb1 0.5000 0.5000 0.3544
Sm1 0.5000 0.5000 0.7899
Cd1 0.0000 0.0000 0.5654
```


[3]
LiPrTlAg | GGA-PBE | relaxed

Results
V: 22.584 A^3/atom
N(E_F): 1.09 states/eV/f.u.
VASP energy: -13.1 eV/f.u.
energy of formation: -292 meV/atom
symmetry: F-43m (216)

The structure in CIF format:
```
data_LiPrTlAg
_chemical_formula_sum 'Li1 Pr1 Tl1 Ag1'
_space_group_name_H-M_alt 'P 1'
_space_group_IT_number 1
_cell_length_a 5.0365
_cell_length_b 5.0365
_cell_length_c 5.0365
_cell_angle_alpha 60.00
_cell_angle_beta 60.00
_cell_angle_gamma 60.00
loop_
_space_group_symop_operation_xyz
'x,y,z'
loop_
_atom_site_label
_atom_site_fract_x
_atom_site_fract_y
_atom_site_fract_z
Li1 0.7500 0.7500 0.7500
Pr1 0.0000 0.0000 0.0000
Tl1 0.5000 0.5000 0.5000
Ag1 0.2500 0.2500 0.2500
```


[4]
K3Nd3TcO8 | GGA-PBE | relaxed

Results
raw formation energy: -35.166 eV per formula unit
V: 18.034 A^3/atom
VASP energy: -102.8 eV/f.u.
symmetry: R-3m (166)

The structure in CIF format:
```
data_K3Nd3TcO8
_chemical_formula_sum 'K3 Nd3 Tc1 O8'
_space_group_name_H-M_alt 'P 1'
_space_group_IT_number 1
_cell_length_a 7.0376
_cell_length_b 7.0376
_cell_length_c 7.5031
_cell_angle_alpha 117.98
_cell_angle_beta 90.00
_cell_angle_gamma 120.00
loop_
_space_group_symop_operation_xyz
'x,y,z'
loop_
_atom_site_label
_atom_site_fract_x
_atom_site_fract_y
_atom_site_fract_z
K1 0.0000 0.0000 0.0000
K2 0.0000 0.5000 0.0000
K3 0.5000 0.5000 0.0000
Nd1 0.5000 0.0000 0.5000
Nd2 0.5000 0.5000 0.5000
Nd3 0.0000 0.5000 0.5000
Tc1 0.0000 0.0000 0.5000
O1 0.2696 0.5392 0.3088
O2 0.7304 0.4608 0.6912
O3 0.7934 0.5869 0.3251
O4 0.2066 0.4131 0.6749
O5 0.7934 0.0316 0.3251
O6 0.2066 0.9684 0.6749
O7 0.2381 0.0316 0.3251
O8 0.7619 0.9684 0.6749
```


[5]
KAgSe2O8 | GGA-PBE | relaxed

Results
raw formation energy: -7.623 eV per formula unit
V: 16.306 A^3/atom
N(E_F): 0.92 states/eV/f.u.
VASP energy: -58.2 eV/f.u.
symmetry: R-3 (148)

The structure in CIF format:
```
data_KAgSe2O8
_chemical_formula_sum 'K1 Ag1 Se2 O8'
_space_group_name_H-M_alt 'P 1'
_space_group_IT_number 1
_cell_length_a 5.1259
_cell_length_b 5.1259
_cell_length_c 9.0944
_cell_angle_alpha 73.63
_cell_angle_beta 73.63
_cell_angle_gamma 60.00
loop_
_space_group_symop_operation_xyz
'x,y,z'
loop_
_atom_site_label
_atom_site_fract_x
_atom_site_fract_y
_atom_site_fract_z
K1 0.5000 0.5000 0.5000
Ag1 0.0000 0.0000 0.0000
Se1 0.2604 0.2604 0.2187
Se2 0.7396 0.7396 0.7813
O1 0.1962 0.1962 0.4113
O2 0.5956 0.2796 0.1575
O3 0.8038 0.8038 0.5887
O4 0.9673 0.5956 0.1575
O5 0.0327 0.4044 0.8425
O6 0.2796 0.9673 0.1575
O7 0.7204 0.0327 0.8425
O8 0.4044 0.7204 0.8425
```


[6]
SrSnHgAs | GGA-PBE | relaxed

Results
V: 27.087 A^3/atom
N(E_F): 3.33 states/eV/f.u.
VASP energy: -12.1 eV/f.u.
energy of formation: -376 meV/atom
symmetry: F-43m (216)

The structure in CIF format:
```
data_SrSnHgAs
_chemical_formula_sum 'Sr1 Sn1 Hg1 As1'
_space_group_name_H-M_alt 'P 1'
_space_group_IT_number 1
_cell_length_a 5.3511
_cell_length_b 5.3511
_cell_length_c 5.3511
_cell_angle_alpha 60.00
_cell_angle_beta 60.00
_cell_angle_gamma 60.00
loop_
_space_group_symop_operation_xyz
'x,y,z'
loop_
_atom_site_label
_atom_site_fract_x
_atom_site_fract_y
_atom_site_fract_z
Sr1 0.7500 0.7500 0.7500
As1 0.5000 0.5000 0.5000
Hg1 0.0000 0.0000 0.0000
Sn1 0.2500 0.2500 0.2500
```


[7]
SiBr2Cl | GGA-PBE | relaxed

Results
raw formation energy: 1.857 eV per formula unit
V: 23.495 A^3/atom
N(E_F): 3.84 states/eV/f.u.
VASP energy: -8.8 eV/f.u.
symmetry: P4/mmm (123)

The structure in CIF format:
```
data_SiBr2Cl
_chemical_formula_sum 'Si1 Br2 Cl1'
_space_group_name_H-M_alt 'P 1'
_space_group_IT_number 1
_cell_length_a 4.9508
_cell_length_b 4.9508
_cell_length_c 3.8344
_cell_angle_alpha 90.00
_cell_angle_beta 90.00
_cell_angle_gamma 90.00
loop_
_space_group_symop_operation_xyz
'x,y,z'
loop_
_atom_site_label
_atom_site_fract_x
_atom_site_fract_y
_atom_site_fract_z
Br1 0.0000 0.0000 0.0000
Br2 0.5000 0.5000 0.0000
Cl1 0.5000 0.0000 0.5000
Si1 0.0000 0.5000 0.5000
```


[8]
Pm2H3Pt17 | GGA-PBE | relaxed

Results
V: 15.586 A^3/atom
N(E_F): 16.16 states/eV/f.u.
VASP energy: -130.0 eV/f.u.
symmetry: R-3m (166)

The structure in CIF format:
```
data_Pm2H3Pt17
_chemical_formula_sum 'Pm2 H3 Pt17'
_space_group_name_H-M_alt 'P 1'
_space_group_IT_number 1
_cell_length_a 7.0440
_cell_length_b 7.0440
_cell_length_c 7.0440
_cell_angle_alpha 83.32
_cell_angle_beta 83.32
_cell_angle_gamma 83.32
loop_
_space_group_symop_operation_xyz
'x,y,z'
loop_
_atom_site_label
_atom_site_fract_x
_atom_site_fract_y
_atom_site_fract_z
Pm1 0.3368 0.3368 0.3368
Pm2 0.6632 0.6632 0.6632
H1 0.0000 0.5000 0.5000
H2 0.5000 0.5000 0.0000
H3 0.5000 0.0000 0.5000
Pt1 0.5000 0.0000 0.0000
Pt2 0.0000 0.0000 0.5000
Pt3 0.0000 0.5000 0.0000
Pt4 0.0000 0.6942 0.3058
Pt5 0.6942 0.3058 0.0000
Pt6 0.3058 0.0000 0.6942
Pt7 0.3058 0.6942 0.0000
Pt8 0.6942 0.0000 0.3058
Pt9 0.0000 0.3058 0.6942
Pt10 0.1643 0.6570 0.6570
Pt11 0.6570 0.6570 0.1643
Pt12 0.6570 0.1643 0.6570
Pt13 0.8357 0.3430 0.3430
Pt14 0.3430 0.3430 0.8357
Pt15 0.3430 0.8357 0.3430
Pt16 0.1072 0.1072 0.1072
Pt17 0.8928 0.8928 0.8928
```


[9]
Tl6Hg23Bi | GGA-PBE | relaxed

Results
V: 28.907 A^3/atom
N(E_F): 12.00 states/eV/f.u.
VASP energy: -25.0 eV/f.u.
energy of formation: 1 meV/atom
symmetry: Fm-3m (225)

The structure in CIF format:
```
data_Tl6Hg23Bi
_chemical_formula_sum 'Tl6 Hg23 Bi1'
_space_group_name_H-M_alt 'P 1'
_space_group_IT_number 1
_cell_length_a 10.7040
_cell_length_b 10.7040
_cell_length_c 10.7040
_cell_angle_alpha 60.00
_cell_angle_beta 60.00
_cell_angle_gamma 60.00
loop_
_space_group_symop_operation_xyz
'x,y,z'
loop_
_atom_site_label
_atom_site_fract_x
_atom_site_fract_y
_atom_site_fract_z
Tl1 0.7218 0.7218 0.2782
Tl2 0.2782 0.2782 0.7218
Tl3 0.7218 0.2782 0.2782
Tl4 0.2782 0.7218 0.7218
Tl5 0.7218 0.2782 0.7218
Tl6 0.2782 0.7218 0.2782
Hg1 0.6412 0.1196 0.1196
Hg2 0.3588 0.8804 0.8804
Hg3 0.1196 0.1196 0.6412
Hg4 0.1196 0.1196 0.1196
Hg5 0.8804 0.8804 0.3588
Hg6 0.8804 0.8804 0.8804
Hg7 0.1196 0.6412 0.1196
Hg8 0.8804 0.3588 0.8804
Hg9 0.5000 0.5000 0.0000
Hg10 0.0000 0.0000 0.5000
Hg11 0.5000 0.0000 0.0000
Hg12 0.0000 0.5000 0.5000
Hg13 0.5000 0.0000 0.5000
Hg14 0.0000 0.5000 0.0000
Hg15 0.9683 0.3439 0.3439
Hg16 0.0317 0.6561 0.6561
Hg17 0.3439 0.3439 0.9683
Hg18 0.3439 0.3439 0.3439
Hg19 0.6561 0.6561 0.0317
Hg20 0.6561 0.6561 0.6561
Hg21 0.3439 0.9683 0.3439
Hg22 0.6561 0.0317 0.6561
Hg23 0.0000 0.0000 0.0000
Bi1 0.5000 0.5000 0.5000
```


[10]
GeSbI2O | GGA-PBE | relaxed

Results
raw formation energy: -0.421 eV per formula unit
V: 26.847 A^3/atom
N(E_F): 2.90 states/eV/f.u.
VASP energy: -17.2 eV/f.u.
symmetry: P4/mmm (123)

The structure in CIF format:
```
data_GeSbI2O
_chemical_formula_sum 'Ge1 Sb1 I2 O1'
_space_group_name_H-M_alt 'P 1'
_space_group_IT_number 1
_cell_length_a 5.9886
_cell_length_b 5.9886
_cell_length_c 3.7430
_cell_angle_alpha 90.00
_cell_angle_beta 90.00
_cell_angle_gamma 90.00
loop_
_space_group_symop_operation_xyz
'x,y,z'
loop_
_atom_site_label
_atom_site_fract_x
_atom_site_fract_y
_atom_site_fract_z
I1 0.0000 0.5000 0.0000
I2 0.5000 0.0000 0.0000
Sb1 0.5000 0.5000 0.5000
Ge1 0.0000 0.0000 0.0000
O1 0.0000 0.0000 0.5000
```


[11]
KScPb2 | GGA-PBE | relaxed

Results
V: 39.311 A^3/atom
N(E_F): 0.09 states/eV/f.u.
VASP energy: -14.4 eV/f.u.
energy of formation: 115 meV/atom
symmetry: I-42d (122)

The structure in CIF format:
```
data_KScPb2
_chemical_formula_sum 'K2 Sc2 Pb4'
_space_group_name_H-M_alt 'P 1'
_space_group_IT_number 1
_cell_length_a 5.6283
_cell_length_b 5.6283
_cell_length_c 10.6958
_cell_angle_alpha 74.75
_cell_angle_beta 74.75
_cell_angle_gamma 90.00
loop_
_space_group_symop_operation_xyz
'x,y,z'
loop_
_atom_site_label
_atom_site_fract_x
_atom_site_fract_y
_atom_site_fract_z
Pb1 0.7291 0.1250 0.2500
Pb2 0.0209 0.6250 0.2500
Pb3 0.3750 0.2709 0.7500
Pb4 0.8750 0.9791 0.7500
Sc1 0.0000 0.0000 0.0000
Sc2 0.7500 0.2500 0.5000
K1 0.5000 0.5000 0.0000
K2 0.2500 0.7500 0.5000
```


[12]
Pm3ZnSb | GGA-PBE | relaxed

Results
raw formation energy: -2.681 eV per formula unit
V: 29.315 A^3/atom
N(E_F): 6.17 states/eV/f.u.
VASP energy: -22.3 eV/f.u.
symmetry: C2/m (12)

The structure in CIF format:
```
data_Pm3ZnSb
_chemical_formula_sum 'Pm6 Zn2 Sb2'
_space_group_name_H-M_alt 'P 1'
_space_group_IT_number 1
_cell_length_a 4.1842
_cell_length_b 8.2728
_cell_length_c 8.7554
_cell_angle_alpha 90.93
_cell_angle_beta 90.01
_cell_angle_gamma 104.67
loop_
_space_group_symop_operation_xyz
'x,y,z'
loop_
_atom_site_label
_atom_site_fract_x
_atom_site_fract_y
_atom_site_fract_z
Pm1 0.0645 0.1619 0.4065
Pm2 0.4240 0.8806 0.6558
Pm3 0.6198 0.2734 0.7656
Pm4 0.9796 0.9922 0.0149
Pm5 0.2695 0.5716 0.0235
Pm6 0.7746 0.5825 0.3981
Zn1 0.2338 0.5012 0.6438
Zn2 0.8099 0.6529 0.7780
Sb1 0.4135 0.8598 0.2828
Sb2 0.6307 0.2943 0.1387
```